{"formula": "FePAu", "functional": "PBE-GGA", "state": "relaxed", "cell": [[-4.151, -3.902, -0.825], [1.311, -1.757, 1.712], [-1.457, 3.397, 4.603]], "species": ["Au", "Au", "Fe", "Fe", "P", "P"], "frac_coords": [[0.646, 0.500, 0.547], [0.505, 0.500, 0.029], [0.933, 0.000, 0.316], [0.080, 0.000, 0.792], [0.951, 0.500, 0.030], [0.221, 0.500, 0.546]], "sg": "Pm, No. 6"}

=====

{"formula": "FeP2Au", "functional": "PBE-GGA", "state": "relaxed", "cell": [[-2.253, 0.905, -3.700], [0.516, -2.546, -3.584], [-3.277, -2.674, -1.305]], "species": ["P", "P", "Fe", "Au"], "frac_coords": [[0.250, 0.250, 0.250], [0.000, 0.000, 0.000], [0.750, 0.750, 0.750], [0.500, 0.500, 0.500]], "e_above_lowest_polymorph_mev_per_atom": 742, "sg": "F-43m, No. 216"}

=====

{"formula": "FePPdAu2", "functional": "PBE-GGA", "state": "relaxed", "cell": [[-3.299, -2.654, -1.912], [2.272, -0.230, -3.601], [2.138, -3.805, 1.592]], "species": ["Fe", "Au", "Au", "P", "Pd"], "frac_coords": [[0.000, 0.500, 0.000], [0.000, 0.000, 0.500], [0.500, 0.000, 0.000], [0.000, 0.000, 0.000], [0.500, 0.500, 0.500]], "sg": "P4/mmm, No. 123"}

=====

no.,formation enthalpy at 0 K (meV per atom)
1,-49
2,615
3,354